The following is a PBE-GGA calculation of an optimized crystal structure of ReMo2Os, from Alexandria.

a b c (Å): 2.7935 3.9212 5.5846
angles (deg): 90.00 90.00 90.00
Sites, in units of the cell vectors:
Re 0.0000 0.0000 0.0000
Mo 0.5000 0.5000 0.2513
Mo 0.5000 0.5000 0.7487
Os 0.0000 0.0000 0.5000

**Fermi-level density of states**: 2.715 states/eV/f.u.
**E**: -11.212 eV/atom